CaMgTc (GGA-PBE, optimized geometry); symmetry = No. 42; ρ = 4.28 g/cm3; total magnetic moment = 0.136 μB per formula unit; E_form = 0.47 eV per atom
1.0
7.536 -0.028 0.026
6.906 2.867 0.020
0.630 -0.160 2.890
Mg Tc Ca
1 1 1
direct
0.312 0.312 0.688
0.673 0.673 0.327
0.015 0.015 0.985



BaSc2Cl (GGA-PBE, optimized geometry); symmetry = No. 47; ρ = 3.17 g/cm3; formation energy from raw total energies = -0.024 eV per atom; total magnetic moment = 0.644 μB per formula unit
1.0
-1.255 2.782 1.747
-5.891 -0.934 -2.745
-1.550 -3.548 4.535
Sc Cl Ba
2 1 1
direct
0.000 0.000 0.014
0.000 0.000 0.486
0.500 0.500 0.750
0.500 0.500 0.250



CeHoS (GGA-PBE, optimized geometry); symmetry = No. 156; ρ = 6.93 g/cm3; formation energy from raw total energies = -1.165 eV per atom; total magnetic moment = 1.053 μB per formula unit
1.0
6.506 0.000 0.000
0.000 3.787 0.000
0.000 -1.894 3.280
S Ho Ce
1 1 1
direct
0.324 0.333 0.667
0.078 0.000 0.000
0.598 0.667 0.333



MgCuSb (GGA-PBE, optimized geometry); symmetry = No. 156; ρ = 5.76 g/cm3; formation energy from raw total energies = -0.117 eV per atom; total magnetic moment = 0.000 μB per formula unit
1.0
-2.157 2.690 -2.691
-4.542 -5.421 -1.780
-3.380 2.343 1.495
Cu Mg Sb
2 2 2
direct
0.153 0.258 0.572
0.819 0.024 0.239
0.485 0.143 0.905
0.485 0.642 0.906
0.818 0.407 0.239
0.151 0.877 0.572



Question: What is the total magnetic moment in the third record?
Answer: 1.053 μB per formula unit